(1)
A relaxed structure of GdHoMgHg, computed with PBE.

Computed properties:
Formation energy, eV per atom: -0.2786
V, Å³ per atom: 26.3
Total energy, eV/atom: -5.417
Spin magnetization, μB/cell: 31.3

```
data_GdHoMgHg
_chemical_formula_sum 'Gd4 Ho4 Mg4 Hg4'
_cell_length_a 7.496
_cell_length_b 7.496
_cell_length_c 7.496
_cell_angle_alpha 90.00
_cell_angle_beta 90.00
_cell_angle_gamma 90.00
_symmetry_space_group_name_H-M 'F -4 3 m'
_symmetry_Int_Tables_number 216
_symmetry_space_group_name_Hall 'F -4 2 3'
loop_
_atom_site_label
_atom_site_type_symbol
_atom_site_fract_x
_atom_site_fract_y
_atom_site_fract_z
Gd1 Gd 0.000 0.000 0.000
Ho1 Ho 0.000 0.000 0.500
Mg1 Mg 0.250 0.250 0.250
Hg1 Hg 0.250 0.250 0.750
```



(2)
A relaxed structure of In2AsBr, computed with PBE.

Computed properties:
E_form (uncorrected), kJ/mol of atoms: -1.8
V, Å³ per atom: 28.7
Total energy, eV/atom: -2.968
Spin magnetization, μB/cell: 0.0

```
data_In2AsBr
_chemical_formula_sum 'In4 As2 Br2'
_cell_length_a 4.388
_cell_length_b 5.505
_cell_length_c 9.519
_cell_angle_alpha 90.00
_cell_angle_beta 90.00
_cell_angle_gamma 90.00
_symmetry_space_group_name_H-M 'C m m 2'
_symmetry_Int_Tables_number 35
loop_
_symmetry_equiv_pos_as_xyz
'x,y,z'
'-x,-y,z'
'-x,y,z'
'x,-y,z'
'x+1/2,y+1/2,z'
'-x+1/2,-y+1/2,z'
'-x+1/2,y+1/2,z'
'x+1/2,-y+1/2,z'
loop_
_atom_site_label
_atom_site_type_symbol
_atom_site_fract_x
_atom_site_fract_y
_atom_site_fract_z
In1 In 0.000 0.000 0.000
In2 In 0.000 0.500 0.270
As1 As 0.000 0.500 0.823
Br1 Br 0.000 0.000 0.469
```



(3)
A relaxed structure of Sm2Dy2Tm3, computed with PBE.

Computed properties:
Formation energy, eV per atom: 0.2304
V, Å³ per atom: 32.2
Total energy, eV/atom: -4.349
Spin magnetization, μB/cell: 0.0

```
data_Sm2Dy2Tm3
_chemical_formula_sum 'Sm8 Dy8 Tm12'
_cell_length_a 9.662
_cell_length_b 9.662
_cell_length_c 9.662
_cell_angle_alpha 90.00
_cell_angle_beta 90.00
_cell_angle_gamma 90.00
_symmetry_space_group_name_H-M 'I 21 3'
_symmetry_Int_Tables_number 199
_symmetry_space_group_name_Hall 'I 2b 2c 3'
loop_
_atom_site_label
_atom_site_type_symbol
_atom_site_fract_x
_atom_site_fract_y
_atom_site_fract_z
Sm1 Sm 0.094 0.406 0.594
Dy1 Dy 0.208 0.208 0.208
Tm1 Tm 0.000 0.250 0.944
```



(4)
A relaxed structure of Al3ICl, computed with PBE.

Computed properties:
E_form (uncorrected), kJ/mol of atoms: 42.7
V, Å³ per atom: 33.4
Total energy, eV/atom: -2.483
Spin magnetization, μB/cell: 0.0

```
data_Al3ICl
_chemical_formula_sum 'Al3 I1 Cl1'
_cell_length_a 5.507
_cell_length_b 5.507
_cell_length_c 5.507
_cell_angle_alpha 90.00
_cell_angle_beta 90.00
_cell_angle_gamma 90.00
_symmetry_space_group_name_H-M 'P m -3 m'
_symmetry_Int_Tables_number 221
_symmetry_space_group_name_Hall '-P 4 2 3'
loop_
_atom_site_label
_atom_site_type_symbol
_atom_site_fract_x
_atom_site_fract_y
_atom_site_fract_z
Al1 Al 0.000 0.000 0.500
I1 I 0.500 0.500 0.500
Cl1 Cl 0.000 0.000 0.000
```



(5)
A relaxed structure of Pr8CuS3I4, computed with PBE.

Computed properties:
E_form (uncorrected), kJ/mol of atoms: -120.4
V, Å³ per atom: 29.9
Total energy, eV/atom: -5.055
Spin magnetization, μB/cell: 0.0

```
data_Pr8CuS3I4
_chemical_formula_sum 'Pr24 Cu3 S9 I12'
_cell_length_a 8.4010
_cell_length_b 8.4010
_cell_length_c 23.4559
_cell_angle_alpha 90.00
_cell_angle_beta 90.00
_cell_angle_gamma 120.00
_symmetry_space_group_name_H-M 'R -3 m'
_symmetry_Int_Tables_number 166
_symmetry_space_group_name_Hall '-R 3 2"'
loop_
_atom_site_label
_atom_site_type_symbol
_atom_site_fract_x
_atom_site_fract_y
_atom_site_fract_z
Pr1 Pr 0.0000 0.0000 0.2288
Pr2 Pr 0.0031 0.5015 0.7694
Cu1 Cu 0.0000 0.0000 0.5000
S1 S 0.0000 0.5000 0.5000
I1 I 0.0000 0.0000 0.0000
I2 I 0.0000 0.5000 0.0000
```



(6)
A relaxed structure of Ba2DyZnO5, computed with PBE.

Computed properties:
E_form (uncorrected), kJ/mol of atoms: -227.5
V, Å³ per atom: 17.0
Total energy, eV/atom: -6.192
Spin magnetization, μB/cell: 4.4

```
data_Ba2DyZnO5
_chemical_formula_sum 'Ba8 Dy4 Zn4 O20'
_cell_length_a 3.577
_cell_length_b 15.286
_cell_length_c 11.176
_cell_angle_alpha 90.00
_cell_angle_beta 90.00
_cell_angle_gamma 90.00
_symmetry_space_group_name_H-M 'C m c 21'
_symmetry_Int_Tables_number 36
loop_
_symmetry_equiv_pos_as_xyz
'x,y,z'
'-x,-y,z+1/2'
'-x,y,z'
'x,-y,z+1/2'
'x+1/2,y+1/2,z'
'-x+1/2,-y+1/2,z+1/2'
'-x+1/2,y+1/2,z'
'x+1/2,-y+1/2,z+1/2'
loop_
_atom_site_label
_atom_site_type_symbol
_atom_site_fract_x
_atom_site_fract_y
_atom_site_fract_z
Ba1 Ba 0.000 0.110 0.000
Ba2 Ba 0.000 0.132 0.641
Dy1 Dy 0.000 0.201 0.341
Zn1 Zn 0.000 0.455 0.764
O1 O 0.000 0.042 0.341
O2 O 0.000 0.294 0.971
O3 O 0.000 0.323 0.709
O4 O 0.000 0.343 0.323
O5 O 0.000 0.497 0.105
```



(7)
A relaxed structure of LaCeSi, computed with PBE.

Computed properties:
E_form (uncorrected), kJ/mol of atoms: -33.9
V, Å³ per atom: 29.6
Total energy, eV/atom: -5.779
Spin magnetization, μB/cell: 3.1

```
data_LaCeSi
_chemical_formula_sum 'La4 Ce4 Si4'
_cell_length_a 7.080
_cell_length_b 7.080
_cell_length_c 7.080
_cell_angle_alpha 90.00
_cell_angle_beta 90.00
_cell_angle_gamma 90.00
_symmetry_space_group_name_H-M 'F -4 3 m'
_symmetry_Int_Tables_number 216
_symmetry_space_group_name_Hall 'F -4 2 3'
loop_
_atom_site_label
_atom_site_type_symbol
_atom_site_fract_x
_atom_site_fract_y
_atom_site_fract_z
La1 La 0.000 0.000 0.000
Ce1 Ce 0.000 0.000 0.500
Si1 Si 0.250 0.250 0.750
```



(8)
A relaxed structure of LiMg2MoN4, computed with PBE.

Computed properties:
E_form (uncorrected), kJ/mol of atoms: -50.4
V, Å³ per atom: 12.2
Total energy, eV/atom: -6.676
Spin magnetization, μB/cell: 0.0

```
data_LiMg2MoN4
_chemical_formula_sum 'Li2 Mg4 Mo2 N8'
_cell_length_a 7.301
_cell_length_b 6.121
_cell_length_c 4.367
_cell_angle_alpha 90.00
_cell_angle_beta 90.00
_cell_angle_gamma 90.00
_symmetry_space_group_name_H-M 'P m n 21'
_symmetry_Int_Tables_number 31
loop_
_symmetry_equiv_pos_as_xyz
'x,y,z'
'-x+1/2,-y,z+1/2'
'-x,y,z'
'x+1/2,-y,z+1/2'
loop_
_atom_site_label
_atom_site_type_symbol
_atom_site_fract_x
_atom_site_fract_y
_atom_site_fract_z
Li1 Li 0.000 0.171 0.000
Mg1 Mg 0.237 0.328 0.503
Mo1 Mo 0.000 0.829 0.552
N1 N 0.000 0.136 0.489
N2 N 0.000 0.828 0.981
N3 N 0.224 0.675 0.491
```



(9)
A relaxed structure of Ho6TmSc3, computed with PBE.

Computed properties:
Formation energy, eV per atom: 0.1275
V, Å³ per atom: 29.3
Total energy, eV/atom: -4.966
Spin magnetization, μB/cell: 0.0

```
data_Ho6TmSc3
_chemical_formula_sum 'Ho24 Tm4 Sc12'
_cell_length_a 9.334
_cell_length_b 20.236
_cell_length_c 6.194
_cell_angle_alpha 90.00
_cell_angle_beta 90.00
_cell_angle_gamma 90.00
_symmetry_space_group_name_H-M 'C m c 21'
_symmetry_Int_Tables_number 36
loop_
_symmetry_equiv_pos_as_xyz
'x,y,z'
'-x,-y,z+1/2'
'-x,y,z'
'x,-y,z+1/2'
'x+1/2,y+1/2,z'
'-x+1/2,-y+1/2,z+1/2'
'-x+1/2,y+1/2,z'
'x+1/2,-y+1/2,z+1/2'
loop_
_atom_site_label
_atom_site_type_symbol
_atom_site_fract_x
_atom_site_fract_y
_atom_site_fract_z
Ho1 Ho 0.000 0.015 0.000
Ho2 Ho 0.000 0.302 0.006
Ho3 Ho 0.178 0.282 0.471
Ho4 Ho 0.180 0.443 0.214
Tm1 Tm 0.000 0.158 0.778
Sc1 Sc 0.000 0.417 0.694
Sc2 Sc 0.167 0.127 0.308
```



(10)
A relaxed structure of ZrFe2Pt, computed with PBE.

Computed properties:
Formation energy, eV per atom: 0.1353
V, Å³ per atom: 15.7
Total energy, eV/atom: -7.743
Spin magnetization, μB/cell: 17.5

```
data_ZrFe2Pt
_chemical_formula_sum 'Zr3 Fe6 Pt3'
_cell_length_a 2.8217
_cell_length_b 2.8217
_cell_length_c 27.3564
_cell_angle_alpha 90.00
_cell_angle_beta 90.00
_cell_angle_gamma 120.00
_symmetry_space_group_name_H-M 'R -3 m'
_symmetry_Int_Tables_number 166
_symmetry_space_group_name_Hall '-R 3 2"'
loop_
_atom_site_label
_atom_site_type_symbol
_atom_site_fract_x
_atom_site_fract_y
_atom_site_fract_z
Zr1 Zr 0.0000 0.0000 0.0000
Fe1 Fe 0.0000 0.0000 0.2447
Pt1 Pt 0.0000 0.0000 0.5000
```



(11)
A relaxed structure of MnCdGa2Si, computed with PBE.

Computed properties:
E_form (uncorrected), kJ/mol of atoms: 17.5
V, Å³ per atom: 19.0
Total energy, eV/atom: -4.131
Spin magnetization, μB/cell: 0.6

```
data_MnCdGa2Si
_chemical_formula_sum 'Mn1 Cd1 Ga2 Si1'
_cell_length_a 4.672
_cell_length_b 4.672
_cell_length_c 4.352
_cell_angle_alpha 90.00
_cell_angle_beta 90.00
_cell_angle_gamma 90.00
_symmetry_space_group_name_H-M 'P 4/m m m'
_symmetry_Int_Tables_number 123
_symmetry_space_group_name_Hall '-P 4 2'
loop_
_atom_site_label
_atom_site_type_symbol
_atom_site_fract_x
_atom_site_fract_y
_atom_site_fract_z
Mn1 Mn 0.000 0.000 0.000
Cd1 Cd 0.500 0.500 0.500
Ga1 Ga 0.000 0.500 0.000
Si1 Si 0.000 0.000 0.500
```



(12)
A relaxed structure of PmHoPaO6, computed with PBE.

Computed properties:
E_form (uncorrected), kJ/mol of atoms: -306.3
V, Å³ per atom: 15.5
Total energy, eV/atom: -8.572
Spin magnetization, μB/cell: 0.7

```
data_PmHoPaO6
_chemical_formula_sum 'Pm1 Ho1 Pa1 O6'
_cell_length_a 5.8633
_cell_length_b 5.8633
_cell_length_c 4.6824
_cell_angle_alpha 90.00
_cell_angle_beta 90.00
_cell_angle_gamma 120.00
_symmetry_space_group_name_H-M 'P 3 1 2'
_symmetry_Int_Tables_number 149
loop_
_symmetry_equiv_pos_as_xyz
'x,y,z'
'-y,x-y,z'
'-x+y,-x,z'
'-y,-x,-z'
'-x+y,y,-z'
'x,x-y,-z'
loop_
_atom_site_label
_atom_site_type_symbol
_atom_site_fract_x
_atom_site_fract_y
_atom_site_fract_z
Pm1 Pm 0.0000 0.0000 0.0000
Ho1 Ho 0.6667 0.3333 0.0000
Pa1 Pa 0.3333 0.6667 0.5000
O1 O 0.0124 0.3565 0.7536
```